This record from Alexandria describes an optimized crystal structure of NbPd2Se. The functional is PBE.

Cell: 7.270 7.270 5.786 Å, 51.08 51.08 90.00°
Element x y z (fractional)
1 Pd 0.375 0.390 0.750
2 Pd 0.610 0.125 0.250
3 Pd 0.875 0.860 0.750
4 Pd 0.140 0.625 0.250
5 Nb 0.750 0.250 0.500
6 Nb 0.000 0.000 0.000
7 Se 0.250 0.750 0.500
8 Se 0.500 0.500 0.000

formation energy (no corrections): -0.116 eV/atom